No. 1
# CsTa3Au

CsTa3Au at its PBEsol-relaxed geometry (SCAN, Alexandria).

abc: 4.9210 4.9210 4.9210
angles: 90.00 90.00 90.00
Fractional coordinates of all 5 atoms:
1 Cs 0.0000 0.0000 0.0000
2 Au 0.5000 0.5000 0.5000
3 Ta 0.0000 0.5000 0.0000
4 Ta 0.0000 0.0000 0.5000
5 Ta 0.5000 0.0000 0.0000

Computed properties:
* volume: 23.83 Å³ per atom
* ΔE to the lowest computed polymorph: 1307 meV per atom
* formation energy from the elements: 3.367 eV/atom
* density: 12.2 g cm⁻³
* crystal system: cubic


No. 2
# CsTa3Au

CsTa3Au at its PBEsol-relaxed geometry (SCAN, Alexandria).

abc: 5.0666 5.0666 5.0666
angles: 90.00 90.00 90.00
Fractional coordinates of all 5 atoms:
1 Cs 0.5000 0.5000 0.5000
2 Au 0.0000 0.0000 0.0000
3 Ta 0.0000 0.5000 0.0000
4 Ta 0.0000 0.0000 0.5000
5 Ta 0.5000 0.0000 0.0000

Computed properties:
* volume: 26.01 Å³ per atom
* ΔE to the lowest computed polymorph: 0 meV per atom
* formation energy from the elements: 2.060 eV/atom
* density: 11.1 g cm⁻³
* crystal system: cubic


No. 3
# CsTeAu

CsTeAu at its PBEsol-relaxed geometry (SCAN, Alexandria).

abc: 5.3978 5.8635 7.2439
angles: 90.00 90.00 90.00
Fractional coordinates of all 6 atoms:
1 Cs 0.5000 0.7500 0.2871
2 Cs 0.5000 0.2500 0.7129
3 Te 0.0000 0.2500 0.2989
4 Te 0.0000 0.7500 0.7011
5 Au 0.0000 0.0000 0.0000
6 Au 0.0000 0.5000 0.0000

Computed properties:
* volume: 38.21 Å³ per atom
* density: 6.6 g cm⁻³
* formation energy from raw total energies: -2.54 eV per formula unit
* crystal system: orthorhombic


No. 4
# Cs2TeAu2

Cs2TeAu2 at its PBEsol-relaxed geometry (SCAN, Alexandria).

abc: 6.2903 6.2903 6.2903
angles: 102.37 113.13 113.13
Fractional coordinates of all 5 atoms:
1 Cs 0.5000 0.7500 0.2500
2 Cs 0.5000 0.2500 0.7500
3 Te 0.0000 0.0000 0.0000
4 Au 0.0000 0.6616 0.6616
5 Au 0.0000 0.3384 0.3384

Computed properties:
* volume: 37.89 Å³ per atom
* density: 6.9 g cm⁻³
* formation energy from raw total energies: -3.37 eV per formula unit
* crystal system: tetragonal


No. 5
# CsTi2Au2

CsTi2Au2 at its PBEsol-relaxed geometry (SCAN, Alexandria).

abc: 3.8463 3.8463 9.0389
angles: 102.28 102.28 90.00
Fractional coordinates of all 5 atoms:
1 Cs 0.0000 0.0000 0.0000
2 Au 0.3585 0.3585 0.7170
3 Au 0.6415 0.6415 0.2830
4 Ti 0.2500 0.7500 0.5000
5 Ti 0.7500 0.2500 0.5000

Computed properties:
* volume: 25.51 Å³ per atom
* formation energy from the elements: -0.017 eV/atom
* density: 8.1 g cm⁻³
* crystal system: tetragonal


No. 6
# Cs2TlAu2

Cs2TlAu2 at its PBEsol-relaxed geometry (SCAN, Alexandria).

abc: 5.3850 7.8534 7.8534
angles: 90.00 90.00 90.00
Fractional coordinates of all 10 atoms:
1 Cs 0.5000 0.1726 0.6726
2 Cs 0.5000 0.6726 0.8274
3 Cs 0.5000 0.8274 0.3274
4 Cs 0.5000 0.3274 0.1726
5 Tl 0.0000 0.0000 0.0000
6 Tl 0.0000 0.5000 0.5000
7 Au 0.0000 0.3728 0.8728
8 Au 0.0000 0.8728 0.6272
9 Au 0.0000 0.6272 0.1272
10 Au 0.0000 0.1272 0.3728

Computed properties:
* volume: 33.21 Å³ per atom
* formation energy from the elements: -0.256 eV/atom
* density: 8.6 g cm⁻³
* crystal system: tetragonal


No. 7
# CsZn2Au2

CsZn2Au2 at its PBEsol-relaxed geometry (SCAN, Alexandria).

abc: 4.6796 4.6796 6.2819
angles: 111.87 111.87 90.00
Fractional coordinates of all 5 atoms:
1 Cs 0.0000 0.0000 0.0000
2 Zn 0.2500 0.7500 0.5000
3 Zn 0.7500 0.2500 0.5000
4 Au 0.3644 0.3644 0.7288
5 Au 0.6356 0.6356 0.2712

Computed properties:
* volume: 23.39 Å³ per atom
* formation energy from the elements: -0.219 eV/atom
* density: 9.3 g cm⁻³
* crystal system: tetragonal


No. 8
# CsZn3Au

CsZn3Au at its PBEsol-relaxed geometry (SCAN, Alexandria).

abc: 5.0054 5.0054 5.0054
angles: 90.00 90.00 90.00
Fractional coordinates of all 5 atoms:
1 Cs 0.5000 0.5000 0.5000
2 Zn 0.0000 0.5000 0.0000
3 Zn 0.0000 0.0000 0.5000
4 Zn 0.5000 0.0000 0.0000
5 Au 0.0000 0.0000 0.0000

Computed properties:
* volume: 25.08 Å³ per atom
* formation energy from the elements: -0.129 eV/atom
* density: 7.0 g cm⁻³
* crystal system: cubic


No. 9
# Cs2ZnAu2

Cs2ZnAu2 at its PBEsol-relaxed geometry (SCAN, Alexandria).

abc: 6.1408 6.1408 6.1408
angles: 102.66 112.98 112.98
Fractional coordinates of all 5 atoms:
1 Cs 0.5000 0.7500 0.2500
2 Cs 0.5000 0.2500 0.7500
3 Zn 0.0000 0.0000 0.0000
4 Au 0.0000 0.6739 0.6739
5 Au 0.0000 0.3261 0.3261

Computed properties:
* volume: 35.28 Å³ per atom
* formation energy from the elements: -0.252 eV/atom
* density: 6.8 g cm⁻³
* crystal system: tetragonal


No. 10
# CsZn2Au

CsZn2Au at its PBEsol-relaxed geometry (SCAN, Alexandria).

abc: 5.6063 5.6063 9.1110
angles: 107.92 107.92 90.00
Fractional coordinates of all 8 atoms:
1 Cs 0.5000 0.5000 0.0000
2 Cs 0.7500 0.2500 0.5000
3 Zn 0.6250 0.8750 0.7500
4 Zn 0.1250 0.8750 0.7500
5 Zn 0.1250 0.8750 0.2500
6 Zn 0.1250 0.3750 0.2500
7 Au 0.0000 0.0000 0.0000
8 Au 0.2500 0.7500 0.5000

Computed properties:
* volume: 32.23 Å³ per atom
* formation energy from the elements: -0.116 eV/atom
* density: 5.9 g cm⁻³
* crystal system: tetragonal


No. 11
# CsZr2Au

CsZr2Au at its PBEsol-relaxed geometry (SCAN, Alexandria).

abc: 4.9652 4.9652 4.9652
angles: 60.00 60.00 60.00
Fractional coordinates of all 4 atoms:
1 Cs 0.0000 0.0000 0.0000
2 Au 0.5000 0.5000 0.5000
3 Zr 0.2500 0.2500 0.2500
4 Zr 0.7500 0.7500 0.7500

Computed properties:
* volume: 21.64 Å³ per atom
* formation energy from the elements: 0.574 eV/atom
* density: 9.8 g cm⁻³
* crystal system: cubic


No. 12
# CuAu2

CuAu2 at its PBEsol-relaxed geometry (SCAN, Alexandria).

abc: 4.4349 4.4349 5.3925
angles: 90.00 90.00 120.00
Fractional coordinates of all 6 atoms:
1 Au 0.0000 0.0000 0.0000
2 Au 0.0000 0.0000 0.5000
3 Au 0.6667 0.3333 0.7500
4 Au 0.3333 0.6667 0.2500
5 Cu 0.6667 0.3333 0.2500
6 Cu 0.3333 0.6667 0.7500

Computed properties:
* volume: 15.31 Å³ per atom
* ΔE to the lowest computed polymorph: 46 meV per atom
* formation energy from the elements: -0.024 eV/atom
* density: 16.5 g cm⁻³
* crystal system: hexagonal